(1)
# Er7FeI12 | the Alexandria database | meta-GGA SCAN | single point on PBEsol structure
# E_tot, eV per atom: -41.8298
# ρ, g/cm³: 6.598
# Formation energy (no corrections), kJ/mol of atoms: -121.5
# M_tot, μB/f.u.: 1.0
data_Er7FeI12
_space_group_name_H-M_alt 'R -3'
_space_group_IT_number 148
_space_group_name_Hall '-R 3'
_cell_length_a 15.0929
_cell_length_b 15.0929
_cell_length_c 10.5227
_cell_angle_alpha 90.00
_cell_angle_beta 90.00
_cell_angle_gamma 120.00
loop_
_atom_site_label
_atom_site_type_symbol
_atom_site_fract_x
_atom_site_fract_y
_atom_site_fract_z
Er1 Er 0.0000 0.0000 0.0000
Er2 Er 0.0424 0.8868 0.3645
Fe1 Fe 0.0000 0.0000 0.5000
I1 I 0.0161 0.4296 0.1587
I2 I 0.0499 0.8697 0.8379

(2)
# CaTl2Ag | the Alexandria database | meta-GGA SCAN | single point on PBEsol structure
# E_tot, eV per atom: -46.6425
# ρ, g/cm³: 9.633
# M_tot, μB/f.u.: 0.0
data_CaTl2Ag
_space_group_name_H-M_alt 'F -4 3 m'
_space_group_IT_number 216
_space_group_name_Hall 'F -4 2 3'
_cell_length_a 7.2675
_cell_length_b 7.2675
_cell_length_c 7.2675
_cell_angle_alpha 90.00
_cell_angle_beta 90.00
_cell_angle_gamma 90.00
loop_
_atom_site_label
_atom_site_type_symbol
_atom_site_fract_x
_atom_site_fract_y
_atom_site_fract_z
Ca1 Ca 0.0000 0.0000 0.0000
Tl1 Tl 0.0000 0.0000 0.5000
Tl2 Tl 0.2500 0.2500 0.7500
Ag1 Ag 0.2500 0.2500 0.2500

(3)
# CuSi5 | the Alexandria database | meta-GGA SCAN | single point on PBEsol structure
# E_tot, eV per atom: -10.4029
# ρ, g/cm³: 4.011
# Formation energy (no corrections), kJ/mol of atoms: 46.0
# ΔE to the lowest computed polymorph, meV per atom: 0
# M_tot, μB/f.u.: 0.0
data_CuSi5
_space_group_name_H-M_alt 'C 1 m 1'
_space_group_IT_number 8
_cell_length_a 9.6383
_cell_length_b 2.5797
_cell_length_c 7.3569
_cell_angle_alpha 90.00
_cell_angle_beta 112.60
_cell_angle_gamma 90.00
loop_
_space_group_symop_operation_xyz
'x,y,z'
'x,-y,z'
'x+1/2,y+1/2,z'
'x+1/2,-y+1/2,z'
loop_
_atom_site_label
_atom_site_type_symbol
_atom_site_fract_x
_atom_site_fract_y
_atom_site_fract_z
Cu1 Cu 0.0000 0.0000 0.0000
Si1 Si 0.0875 0.5000 0.3108
Si2 Si 0.1997 0.5000 0.6836
Si3 Si 0.2673 0.0000 0.0214
Si4 Si 0.3608 0.5000 0.3610
Si5 Si 0.4426 0.0000 0.6915